No. 1
A plane-wave DFT calculation with GGA-PBE was carried out for a relaxed structure of Sr3Sn2As4.

## Properties
ΔE_f: -0.8115 eV per atom
Total magnetic moment: 0.000 μB per atom

Cell: 7.790 19.450 7.804 Å, 90.00 112.01 90.00°
Space group P2_1/c (No. 14)
Symmetry-distinct sites (fractional):
Sr (0.212, 0.182, 0.010)
Sr (0.259, 0.059, 0.511)
Sr (0.264, 0.562, 0.505)
Sn (0.207, 0.622, 0.029)
Sn (0.322, 0.744, 0.910)
As (0.005, 0.054, 0.761)
As (0.021, 0.683, 0.221)
As (0.472, 0.194, 0.771)
As (0.490, 0.063, 0.246)

=====

No. 2
A plane-wave DFT calculation with GGA-PBE was carried out for a relaxed structure of Sr2Sn2As.

## Properties
ΔE_f: -0.5342 eV per atom
N(E_F): 4.65 states/eV/cell
Total magnetic moment: 0.000 μB per atom

Cell: 7.978 7.978 4.923 Å, 90.00 90.00 90.00°
Space group P4/mbm (No. 127)
Symmetry-distinct sites (fractional):
Sr (0.174, 0.326, 0.000)
Sn (0.130, 0.630, 0.500)
As (0.000, 0.000, 0.500)

=====

No. 3
A plane-wave DFT calculation with GGA-PBE was carried out for a relaxed structure of SrSn2As.

## Properties
ΔE_f: -0.3549 eV per atom
N(E_F): 7.46 states/eV/cell
Total magnetic moment: 0.000 μB per atom

Cell: 8.796 8.796 6.264 Å, 90.00 90.00 90.00°
Space group I-42d (No. 122)
Symmetry-distinct sites (fractional):
Sr (0.000, 0.000, 0.000)
Sn (0.196, 0.250, 0.625)
As (0.000, 0.000, 0.500)